No. 1
SiHg2Te4Pb: relaxed, GGA-PBE.

density of states at the Fermi level = 1.69 states/eV per cell
electronic total energy = -2.792 eV/atom
ΔE_f (raw) = 0.00 eV/atom

abc: 7.0703 7.0703 7.1063
angles: 110.64 110.64 106.94
Atoms (fractional coordinates):
Si (0.4876, 0.4876, 0.9752)
Hg (0.8043, 0.3043, 0.6086)
Hg (0.3043, 0.8043, 0.6086)
Te (0.5793, 0.5793, 0.6792)
Te (0.4032, 0.7898, 0.1929)
Te (0.7898, 0.4032, 0.1929)
Te (0.0999, 0.0999, 0.6792)
Pb (0.0319, 0.0319, 0.0639)


No. 2
SiHg2TePb: relaxed, GGA-PBE.

density of states at the Fermi level = 3.99 states/eV per cell
electronic total energy = -2.363 eV/atom
ΔE_f (raw) = 0.21 eV/atom

abc: 5.0361 5.8362 5.0361
angles: 90.00 90.00 90.00
Atoms (fractional coordinates):
Pb (0.5000, 0.5000, 0.5000)
Si (0.0000, 0.0000, 0.0000)
Te (0.0000, 0.5000, 0.0000)
Hg (0.0000, 0.0000, 0.5000)
Hg (0.5000, 0.0000, 0.0000)


No. 3
SiHg2PbW: relaxed, GGA-PBE.

density of states at the Fermi level = 2.91 states/eV per cell
electronic total energy = -3.564 eV/atom
ΔE_f (raw) = 0.97 eV/atom

abc: 5.0992 4.8079 5.0992
angles: 90.00 90.00 90.00
Atoms (fractional coordinates):
Pb (0.5000, 0.5000, 0.5000)
Si (0.0000, 0.0000, 0.0000)
Hg (0.0000, 0.0000, 0.5000)
Hg (0.5000, 0.0000, 0.0000)
W (0.0000, 0.5000, 0.0000)


No. 4
SiHg2PbW: relaxed, GGA-PBE.

density of states at the Fermi level = 3.52 states/eV per cell
electronic total energy = -2.659 eV/atom
ΔE_f (raw) = 1.88 eV/atom

abc: 5.5753 5.4630 5.5753
angles: 90.00 90.00 90.00
Atoms (fractional coordinates):
Pb (0.0000, 0.0000, 0.0000)
Si (0.5000, 0.5000, 0.5000)
Hg (0.0000, 0.0000, 0.5000)
Hg (0.5000, 0.0000, 0.0000)
W (0.0000, 0.5000, 0.0000)


No. 5
Sm6HgPb5: relaxed, GGA-PBE.

density of states at the Fermi level = 9.99 states/eV per cell
electronic total energy = -4.418 eV/atom
energy of formation = -0.488 eV per atom

abc: 5.1261 8.8435 8.1084
angles: 90.00 71.63 90.00
Atoms (fractional coordinates):
Pb (0.6676, 0.5000, 0.6651)
Pb (0.3365, 0.0000, 0.3268)
Pb (0.0000, 0.5000, 0.0000)
Pb (0.6635, 0.0000, 0.6732)
Pb (0.3324, 0.5000, 0.3349)
Hg (0.0000, 0.0000, 0.0000)
Sm (0.8337, 0.7553, 0.3321)
Sm (0.8337, 0.2447, 0.3321)
Sm (0.5000, 0.2449, 0.0000)
Sm (0.5000, 0.7551, 0.0000)
Sm (0.1663, 0.7553, 0.6679)
Sm (0.1663, 0.2447, 0.6679)


No. 6
SmHgPb: relaxed, GGA-PBE.

density of states at the Fermi level = 1.60 states/eV per cell
electronic total energy = -3.301 eV/atom
energy of formation = -0.391 eV per atom

abc: 3.9839 4.9504 4.9504
angles: 120.00 90.00 90.00
Atoms (fractional coordinates):
Pb (0.2867, 0.3333, 0.6667)
Hg (0.0186, 0.0000, 0.0000)
Sm (0.6947, 0.6667, 0.3333)


Copy entry 1 word for word.
SiHg2Te4Pb: relaxed, GGA-PBE.

density of states at the Fermi level = 1.69 states/eV per cell
electronic total energy = -2.792 eV/atom
ΔE_f (raw) = 0.00 eV/atom

abc: 7.0703 7.0703 7.1063
angles: 110.64 110.64 106.94
Atoms (fractional coordinates):
Si (0.4876, 0.4876, 0.9752)
Hg (0.8043, 0.3043, 0.6086)
Hg (0.3043, 0.8043, 0.6086)
Te (0.5793, 0.5793, 0.6792)
Te (0.4032, 0.7898, 0.1929)
Te (0.7898, 0.4032, 0.1929)
Te (0.0999, 0.0999, 0.6792)
Pb (0.0319, 0.0319, 0.0639)


Question: The highest density of states at the Fermi level belongs to which entry?
Answer: Sm6HgPb5